Density functional theory data (PBE) for a relaxed LaSnAu crystal.

The space group is P6_3mc (No. 186) and the conventional cell measures 4.8270, 4.8270 and 7.8162 Å, with angles of 90.00, 90.00 and 120.00 degrees. The asymmetric unit holds La at (0.0000, 0.0000, 0.0000), Sn at (0.3333, 0.6667, 0.2212) and Au at (0.3333, 0.6667, 0.8051).

For the total energy, the calculation gives -4.942 eV per atom.

Density functional theory data (PBE) for a relaxed LuCoAsOs crystal.

The space group is F-43m (No. 216) and the conventional cell measures 6.447, 6.447 and 6.447 Å, with angles of 90.00, 90.00 and 90.00 degrees. The asymmetric unit holds Lu at (0.000, 0.000, 0.000), Co at (0.000, 0.000, 0.500), As at (0.250, 0.250, 0.250) and Os at (0.250, 0.250, 0.750).

For the total energy, the calculation gives -6.614 eV per atom. The energy above the most stable polymorph in this dataset comes out at 0.2835 eV/atom.

Repeat the first record exactly.
Density functional theory data (PBE) for a relaxed LaSnAu crystal.

The space group is P6_3mc (No. 186) and the conventional cell measures 4.8270, 4.8270 and 7.8162 Å, with angles of 90.00, 90.00 and 120.00 degrees. The asymmetric unit holds La at (0.0000, 0.0000, 0.0000), Sn at (0.3333, 0.6667, 0.2212) and Au at (0.3333, 0.6667, 0.8051).

For the total energy, the calculation gives -4.942 eV per atom.